Record 1
An optimized crystal structure of Ac2GaCu4Si3, computed with PBE.

## Properties
**Magnetic moment**: 0.000 μB per atom
**Energy relative to the elements, uncorrected**: -457.7 meV per atom

The structure in CIF format:
```
data_Ac2GaCu4Si3
_space_group_name_H-M_alt 'P -4 m 2'
_space_group_IT_number 115
_cell_length_a 4.287
_cell_length_b 4.287
_cell_length_c 10.157
_cell_angle_alpha 90.00
_cell_angle_beta 90.00
_cell_angle_gamma 90.00
loop_
_space_group_symop_operation_xyz
'x,y,z'
'y,-x,-z'
'-x,-y,z'
'-y,x,-z'
'-x,y,z'
'-y,-x,-z'
'x,-y,z'
'y,x,-z'
loop_
_atom_site_label
_atom_site_type_symbol
_atom_site_fract_x
_atom_site_fract_y
_atom_site_fract_z
_atom_site_occupancy
Ac1 Ac 0.000 0.500 0.245 1
Ga1 Ga 0.000 0.000 0.500 1
Cu1 Cu 0.000 0.000 0.000 1
Cu2 Cu 0.000 0.500 0.630 1
Cu3 Cu 0.500 0.500 0.000 1
Si1 Si 0.000 0.500 0.876 1
Si2 Si 0.500 0.500 0.500 1
```


Record 2
An optimized crystal structure of Ac3Ga2Cu6Si, computed with PBE.

## Properties
**Magnetic moment**: 0.000 μB per atom
**Energy relative to the elements, uncorrected**: -231.2 meV per atom

The structure in CIF format:
```
data_Ac3Ga2Cu6Si
_space_group_name_H-M_alt 'P -3 m 1'
_space_group_IT_number 164
_space_group_name_Hall '-P 3 2"'
_cell_length_a 6.1429
_cell_length_b 6.1429
_cell_length_c 7.9969
_cell_angle_alpha 90.00
_cell_angle_beta 90.00
_cell_angle_gamma 120.00
loop_
_atom_site_label
_atom_site_type_symbol
_atom_site_fract_x
_atom_site_fract_y
_atom_site_fract_z
_atom_site_occupancy
Ac1 Ac 0.0000 0.0000 0.0000 1
Ac2 Ac 0.3333 0.6667 0.7426 1
Ga1 Ga 0.3333 0.6667 0.1349 1
Cu1 Cu 0.1969 0.3938 0.3867 1
Si1 Si 0.0000 0.0000 0.5000 1
```


Record 3
An optimized crystal structure of Ac2Ga4Cu3Si, computed with PBE.

## Properties
**Magnetic moment**: 0.000 μB per atom
**Energy relative to the elements, uncorrected**: -422.8 meV per atom

The structure in CIF format:
```
data_Ac2Ga4Cu3Si
_space_group_name_H-M_alt 'P -4 m 2'
_space_group_IT_number 115
_cell_length_a 4.365
_cell_length_b 4.365
_cell_length_c 10.459
_cell_angle_alpha 90.00
_cell_angle_beta 90.00
_cell_angle_gamma 90.00
loop_
_space_group_symop_operation_xyz
'x,y,z'
'y,-x,-z'
'-x,-y,z'
'-y,x,-z'
'-x,y,z'
'-y,-x,-z'
'x,-y,z'
'y,x,-z'
loop_
_atom_site_label
_atom_site_type_symbol
_atom_site_fract_x
_atom_site_fract_y
_atom_site_fract_z
_atom_site_occupancy
Ac1 Ac 0.000 0.500 0.248 1
Ga1 Ga 0.000 0.000 0.500 1
Ga2 Ga 0.000 0.500 0.869 1
Ga3 Ga 0.500 0.500 0.500 1
Cu1 Cu 0.000 0.000 0.000 1
Cu2 Cu 0.000 0.500 0.628 1
Si1 Si 0.500 0.500 0.000 1
```


Record 4
An optimized crystal structure of AcSmGaCu, computed with PBE.

## Properties
**Formation energy**: -0.280 eV/atom
**Magnetic moment**: 0.000 μB per atom

The structure in CIF format:
```
data_AcSmGaCu
_space_group_name_H-M_alt 'F -4 3 m'
_space_group_IT_number 216
_space_group_name_Hall 'F -4 2 3'
_cell_length_a 7.504
_cell_length_b 7.504
_cell_length_c 7.504
_cell_angle_alpha 90.00
_cell_angle_beta 90.00
_cell_angle_gamma 90.00
loop_
_atom_site_label
_atom_site_type_symbol
_atom_site_fract_x
_atom_site_fract_y
_atom_site_fract_z
_atom_site_occupancy
Ac1 Ac 0.000 0.000 0.000 1
Sm1 Sm 0.000 0.000 0.500 1
Ga1 Ga 0.250 0.250 0.250 1
Cu1 Cu 0.250 0.250 0.750 1
```


Record 5
An optimized crystal structure of Ac2GaCu3Sn4, computed with PBE.

## Properties
**Formation energy**: -0.435 eV/atom
**Magnetic moment**: 0.000 μB per atom

The structure in CIF format:
```
data_Ac2GaCu3Sn4
_space_group_name_H-M_alt 'P -4 m 2'
_space_group_IT_number 115
_cell_length_a 4.699
_cell_length_b 4.699
_cell_length_c 10.712
_cell_angle_alpha 90.00
_cell_angle_beta 90.00
_cell_angle_gamma 90.00
loop_
_space_group_symop_operation_xyz
'x,y,z'
'y,-x,-z'
'-x,-y,z'
'-y,x,-z'
'-x,y,z'
'-y,-x,-z'
'x,-y,z'
'y,x,-z'
loop_
_atom_site_label
_atom_site_type_symbol
_atom_site_fract_x
_atom_site_fract_y
_atom_site_fract_z
_atom_site_occupancy
Ac1 Ac 0.000 0.500 0.245 1
Ga1 Ga 0.500 0.500 0.000 1
Cu1 Cu 0.000 0.000 0.000 1
Cu2 Cu 0.000 0.500 0.626 1
Sn1 Sn 0.000 0.000 0.500 1
Sn2 Sn 0.000 0.500 0.867 1
Sn3 Sn 0.500 0.500 0.500 1
```


Record 6
An optimized crystal structure of Ac2Ga4Cu3Sn, computed with PBE.

## Properties
**Formation energy**: -0.433 eV/atom
**Magnetic moment**: 0.000 μB per atom

The structure in CIF format:
```
data_Ac2Ga4Cu3Sn
_space_group_name_H-M_alt 'P -4 m 2'
_space_group_IT_number 115
_cell_length_a 4.400
_cell_length_b 4.400
_cell_length_c 10.859
_cell_angle_alpha 90.00
_cell_angle_beta 90.00
_cell_angle_gamma 90.00
loop_
_space_group_symop_operation_xyz
'x,y,z'
'y,-x,-z'
'-x,-y,z'
'-y,x,-z'
'-x,y,z'
'-y,-x,-z'
'x,-y,z'
'y,x,-z'
loop_
_atom_site_label
_atom_site_type_symbol
_atom_site_fract_x
_atom_site_fract_y
_atom_site_fract_z
_atom_site_occupancy
Ac1 Ac 0.000 0.500 0.238 1
Ga1 Ga 0.000 0.000 0.000 1
Ga2 Ga 0.000 0.500 0.651 1
Ga3 Ga 0.500 0.500 0.000 1
Cu1 Cu 0.000 0.500 0.880 1
Cu2 Cu 0.500 0.500 0.500 1
Sn1 Sn 0.000 0.000 0.500 1
```


Record 7
An optimized crystal structure of SrAcGa2Cu2, computed with PBE.

## Properties
**Formation energy**: -0.340 eV/atom
**Magnetic moment**: 0.000 μB per atom

The structure in CIF format:
```
data_SrAcGa2Cu2
_space_group_name_H-M_alt 'P -3 m 1'
_space_group_IT_number 164
_space_group_name_Hall '-P 3 2"'
_cell_length_a 4.3526
_cell_length_b 4.3526
_cell_length_c 9.0083
_cell_angle_alpha 90.00
_cell_angle_beta 90.00
_cell_angle_gamma 120.00
loop_
_atom_site_label
_atom_site_type_symbol
_atom_site_fract_x
_atom_site_fract_y
_atom_site_fract_z
_atom_site_occupancy
Sr1 Sr 0.0000 0.0000 0.0000 1
Ac1 Ac 0.0000 0.0000 0.5000 1
Ga1 Ga 0.3333 0.6667 0.2545 1
Cu1 Cu 0.3333 0.6667 0.7494 1
```


Record 8
An optimized crystal structure of AcTb2Ga2Cu2, computed with PBE.

## Properties
**Formation energy**: -0.384 eV/atom
**Magnetic moment**: 0.000 μB per atom

The structure in CIF format:
```
data_AcTb2Ga2Cu2
_space_group_name_H-M_alt 'R -3 m'
_space_group_IT_number 166
_space_group_name_Hall '-R 3 2"'
_cell_length_a 4.5112
_cell_length_b 4.5112
_cell_length_c 28.1589
_cell_angle_alpha 90.00
_cell_angle_beta 90.00
_cell_angle_gamma 120.00
loop_
_atom_site_label
_atom_site_type_symbol
_atom_site_fract_x
_atom_site_fract_y
_atom_site_fract_z
_atom_site_occupancy
Ac1 Ac 0.0000 0.0000 0.0000 1
Tb1 Tb 0.0000 0.0000 0.1274 1
Ga1 Ga 0.0000 0.0000 0.2531 1
Cu1 Cu 0.0000 0.0000 0.4116 1
```


Record 9
An optimized crystal structure of AcThGaCu, computed with PBE.

## Properties
**Formation energy**: -0.176 eV/atom
**Magnetic moment**: 0.000 μB per atom

The structure in CIF format:
```
data_AcThGaCu
_space_group_name_H-M_alt 'F -4 3 m'
_space_group_IT_number 216
_space_group_name_Hall 'F -4 2 3'
_cell_length_a 7.491
_cell_length_b 7.491
_cell_length_c 7.491
_cell_angle_alpha 90.00
_cell_angle_beta 90.00
_cell_angle_gamma 90.00
loop_
_atom_site_label
_atom_site_type_symbol
_atom_site_fract_x
_atom_site_fract_y
_atom_site_fract_z
_atom_site_occupancy
Ac1 Ac 0.000 0.000 0.000 1
Th1 Th 0.000 0.000 0.500 1
Ga1 Ga 0.250 0.250 0.250 1
Cu1 Cu 0.250 0.250 0.750 1
```


Record 10
An optimized crystal structure of AcTlGaCu, computed with PBE.

## Properties
**Formation energy**: -0.157 eV/atom
**Magnetic moment**: 0.000 μB per atom

The structure in CIF format:
```
data_AcTlGaCu
_space_group_name_H-M_alt 'F -4 3 m'
_space_group_IT_number 216
_space_group_name_Hall 'F -4 2 3'
_cell_length_a 7.337
_cell_length_b 7.337
_cell_length_c 7.337
_cell_angle_alpha 90.00
_cell_angle_beta 90.00
_cell_angle_gamma 90.00
loop_
_atom_site_label
_atom_site_type_symbol
_atom_site_fract_x
_atom_site_fract_y
_atom_site_fract_z
_atom_site_occupancy
Ac1 Ac 0.000 0.000 0.000 1
Tl1 Tl 0.000 0.000 0.500 1
Ga1 Ga 0.250 0.250 0.750 1
Cu1 Cu 0.250 0.250 0.250 1
```


Record 11
An optimized crystal structure of AcTmGa2Cu2, computed with PBE.

## Properties
**Formation energy**: -0.463 eV/atom
**Magnetic moment**: 0.000 μB per atom

The structure in CIF format:
```
data_AcTmGa2Cu2
_space_group_name_H-M_alt 'P -3 m 1'
_space_group_IT_number 164
_space_group_name_Hall '-P 3 2"'
_cell_length_a 4.4303
_cell_length_b 4.4303
_cell_length_c 7.5880
_cell_angle_alpha 90.00
_cell_angle_beta 90.00
_cell_angle_gamma 120.00
loop_
_atom_site_label
_atom_site_type_symbol
_atom_site_fract_x
_atom_site_fract_y
_atom_site_fract_z
_atom_site_occupancy
Ac1 Ac 0.0000 0.0000 0.0000 1
Tm1 Tm 0.0000 0.0000 0.5000 1
Ga1 Ga 0.3333 0.6667 0.2952 1
Cu1 Cu 0.3333 0.6667 0.6935 1
```


Record 12
An optimized crystal structure of AcTmGaCu, computed with PBE.

## Properties
**Formation energy**: -0.278 eV/atom
**Magnetic moment**: 0.000 μB per atom

The structure in CIF format:
```
data_AcTmGaCu
_space_group_name_H-M_alt 'F -4 3 m'
_space_group_IT_number 216
_space_group_name_Hall 'F -4 2 3'
_cell_length_a 7.405
_cell_length_b 7.405
_cell_length_c 7.405
_cell_angle_alpha 90.00
_cell_angle_beta 90.00
_cell_angle_gamma 90.00
loop_
_atom_site_label
_atom_site_type_symbol
_atom_site_fract_x
_atom_site_fract_y
_atom_site_fract_z
_atom_site_occupancy
Ac1 Ac 0.000 0.000 0.000 1
Tm1 Tm 0.000 0.000 0.500 1
Ga1 Ga 0.250 0.250 0.250 1
Cu1 Cu 0.250 0.250 0.750 1
```


What did the sixth record say?
An optimized crystal structure of Ac2Ga4Cu3Sn, computed with PBE.

## Properties
**Formation energy**: -0.433 eV/atom
**Magnetic moment**: 0.000 μB per atom

The structure in CIF format:
```
data_Ac2Ga4Cu3Sn
_space_group_name_H-M_alt 'P -4 m 2'
_space_group_IT_number 115
_cell_length_a 4.400
_cell_length_b 4.400
_cell_length_c 10.859
_cell_angle_alpha 90.00
_cell_angle_beta 90.00
_cell_angle_gamma 90.00
loop_
_space_group_symop_operation_xyz
'x,y,z'
'y,-x,-z'
'-x,-y,z'
'-y,x,-z'
'-x,y,z'
'-y,-x,-z'
'x,-y,z'
'y,x,-z'
loop_
_atom_site_label
_atom_site_type_symbol
_atom_site_fract_x
_atom_site_fract_y
_atom_site_fract_z
_atom_site_occupancy
Ac1 Ac 0.000 0.500 0.238 1
Ga1 Ga 0.000 0.000 0.000 1
Ga2 Ga 0.000 0.500 0.651 1
Ga3 Ga 0.500 0.500 0.000 1
Cu1 Cu 0.000 0.500 0.880 1
Cu2 Cu 0.500 0.500 0.500 1
Sn1 Sn 0.000 0.000 0.500 1
```